[1]
Compound: Ce2MgIn4
Source: Alexandria via LeMat-Bulk
Functional: GGA-PBE
Structure: optimized geometry

## Properties
Calculated density ... 6.43 g cm⁻³
Energy above the lowest structure with this stoichiometry ... 0 meV/atom
E_form ... -0.142 eV/atom
Crystal system ... orthorhombic
Magnetic moment ... 1.50 μB/f.u.

The structure in extended XYZ format:
```
7
Lattice="-0.916 2.373 -5.529 0.260 -6.076 0.237 -5.503 1.637 3.520" Properties=species:S:1:pos:R:3 pbc="T T T"
Mg 0.000 0.000 0.000
In -3.374 1.079 -2.328
Ce -1.682 -1.902 -2.443
In 0.130 -3.038 0.119
Ce -4.478 -0.165 0.671
In -2.786 -3.146 0.556
In -0.458 1.186 -2.765
```

***

[2]
Compound: Ce4MgIn3
Source: Alexandria via LeMat-Bulk
Functional: GGA-PBE
Structure: optimized geometry

## Properties
Calculated density ... 7.33 g cm⁻³
E_form ... -0.278 eV/atom
Crystal system ... orthorhombic
Magnetic moment ... 2.47 μB/f.u.

The structure in extended XYZ format:
```
8
Lattice="4.472 0.004 -1.208 -0.315 4.467 -1.184 0.388 0.359 10.331" Properties=species:S:1:pos:R:3 pbc="T T T"
Mg 2.236 0.002 -0.604
Ce 1.846 1.943 6.839
In 1.075 3.531 3.975
In 3.469 1.299 3.964
Ce 2.698 2.887 1.100
Ce 3.925 4.178 5.644
In -0.158 2.234 -0.592
Ce 0.620 0.653 2.295
```

***

[3]
Compound: CeMgIn5
Source: Alexandria via LeMat-Bulk
Functional: GGA-PBE
Structure: optimized geometry

## Properties
Calculated density ... 6.57 g cm⁻³
E_form ... -0.218 eV/atom
Crystal system ... tetragonal
Magnetic moment ... 1.03 μB/f.u.

The structure in extended XYZ format:
```
7
Lattice="4.981 0.000 0.000 0.000 4.981 0.000 0.000 0.000 7.526" Properties=species:S:1:pos:R:3 pbc="T T T"
In 0.000 2.491 2.171
In 2.491 0.000 2.171
In 2.491 0.000 5.355
Mg 0.000 0.000 3.763
In 0.000 2.491 5.355
Ce 0.000 0.000 0.000
In 2.491 2.491 0.000
```

***

[4]
Compound: Ce3Mg2In4
Source: Alexandria via LeMat-Bulk
Functional: GGA-PBE
Structure: optimized geometry

## Properties
Calculated density ... 6.53 g cm⁻³
E_form ... -0.310 eV/atom
Crystal system ... monoclinic
Magnetic moment ... 3.64 μB/f.u.

The structure in extended XYZ format:
```
9
Lattice="5.106 0.000 0.000 -2.553 5.565 -0.878 0.000 -3.482 8.859" Properties=species:S:1:pos:R:3 pbc="T T T"
Mg 2.553 0.273 2.283
Mg 0.000 1.810 5.697
In 2.553 2.242 0.119
In 2.553 2.793 4.648
In 0.000 -0.159 7.861
Ce 0.000 0.000 0.000
Ce 2.553 -0.486 5.604
In 0.000 -0.710 3.332
Ce 0.000 2.569 2.377
```

***

[5]
Compound: Ce4Mg3In4
Source: Alexandria via LeMat-Bulk
Functional: GGA-PBE
Structure: optimized geometry

## Properties
Calculated density ... 5.62 g cm⁻³
E_form ... -0.024 eV/atom
Crystal system ... orthorhombic
Magnetic moment ... 3.81 μB/f.u.

The structure in extended XYZ format:
```
11
Lattice="4.513 0.000 0.000 0.000 9.397 0.000 -2.257 -4.699 7.611" Properties=species:S:1:pos:R:3 pbc="T T T"
Ce 2.257 6.061 2.524
Mg 2.257 4.699 6.026
Ce 0.000 1.362 5.088
Ce 2.257 3.337 2.524
Ce 0.000 -1.362 5.088
In 2.257 1.487 0.000
In 2.257 0.000 3.289
Mg 0.000 0.000 1.586
In 2.257 7.911 0.000
Mg 0.000 4.699 0.000
In 0.000 4.699 4.323
```

***

[6]
Compound: CeMg2In
Source: Alexandria via LeMat-Bulk
Functional: GGA-PBE
Structure: optimized geometry

## Properties
Calculated density ... 4.86 g cm⁻³
Energy above the lowest structure with this stoichiometry ... 15 meV/atom
E_form ... -0.164 eV/atom
Crystal system ... tetragonal
Magnetic moment ... 0.95 μB/f.u.

The structure in extended XYZ format:
```
4
Lattice="4.861 0.000 0.000 0.000 4.619 0.000 0.000 0.000 4.619" Properties=species:S:1:pos:R:3 pbc="T T T"
Ce 2.430 2.310 2.310
In 2.430 0.000 0.000
Mg 0.000 0.000 2.310
Mg 0.000 2.310 0.000
```